Entry 1:
Compound: ReIr3Ru
Source: Alexandria via LeMat-Bulk
Functional: GGA-PBE
Structure: relaxed

```
ReIr3Ru
1.0
4.698 0.000 0.000
0.000 4.698 0.000
0.000 0.000 4.698
Re Ir Ru
1 3 1
Direct
0.000 0.000 0.000
0.000 0.500 0.000
0.000 0.000 0.500
0.500 0.000 0.000
0.500 0.500 0.500
```

Properties
* symmetry: Pm-3m, No. 221
* energy relative to the elements: 2.043 eV per atom
* E above lowest polymorph: 1.950 eV/atom
* volume: 20.7 Å³/atom


Entry 2:
Compound: ReIr4Ru3
Source: Alexandria via LeMat-Bulk
Functional: GGA-PBE
Structure: relaxed

```
ReIr4Ru3
1.0
-0.542 -2.849 2.532
-3.045 -1.209 -2.013
9.431 -1.358 -2.435
Re Ir Ru
1 4 3
Direct
0.000 0.000 0.000
0.125 0.874 0.249
0.875 0.126 0.751
0.625 0.374 0.250
0.375 0.626 0.750
0.252 0.756 0.504
0.748 0.244 0.496
0.500 0.500 0.000
```

Properties
* symmetry: I4/mmm, No. 139
* energy relative to the elements: -0.067 eV per atom
* volume: 14.3 Å³/atom


Entry 3:
Compound: ReIrRu2
Source: Alexandria via LeMat-Bulk
Functional: GGA-PBE
Structure: relaxed

```
ReIrRu2
1.0
-1.320 -1.548 1.798
3.211 -0.240 2.152
-1.501 4.461 2.737
Ir Re Ru
1 1 2
Direct
0.500 0.500 0.250
0.500 0.500 0.750
0.000 0.000 0.998
0.000 0.000 0.502
```

Properties
* symmetry: Pmmm, No. 47
* energy relative to the elements: -0.013 eV per atom
* volume: 14.3 Å³/atom


Entry 4:
Compound: ReIrRu2
Source: Alexandria via LeMat-Bulk
Functional: GGA-PBE
Structure: relaxed

```
ReIrRu2
1.0
-0.064 0.458 4.682
-0.485 -4.252 1.954
2.991 1.619 -3.257
Re Ir Ru
1 1 2
Direct
0.250 0.750 0.500
0.500 0.500 0.000
0.000 0.000 0.000
0.750 0.250 0.500
```

Properties
* symmetry: I-4m2, No. 119
* energy relative to the elements: -0.046 eV per atom
* volume: 14.3 Å³/atom


Entry 5:
Compound: Re2IrRu6
Source: Alexandria via LeMat-Bulk
Functional: GGA-PBE
Structure: relaxed

```
Re2IrRu6
1.0
0.419 3.242 -3.863
2.164 -5.943 -3.936
-7.449 0.024 0.027
Re Ir Ru
4 2 12
Direct
0.111 0.374 0.352
0.389 0.648 0.626
0.889 0.626 0.648
0.611 0.352 0.374
0.250 0.931 0.069
0.750 0.069 0.931
0.512 0.353 0.734
0.988 0.266 0.647
0.488 0.647 0.266
0.012 0.734 0.353
0.692 0.930 0.576
0.808 0.424 0.070
0.308 0.070 0.424
0.192 0.576 0.930
0.309 0.277 0.028
0.191 0.972 0.723
0.691 0.723 0.972
0.809 0.028 0.277
```

Properties
* symmetry: C2/c, No. 15
* energy relative to the elements: 0.263 eV per atom
* volume: 14.8 Å³/atom


Entry 6:
Compound: ReIrRu2
Source: Alexandria via LeMat-Bulk
Functional: GGA-PBE
Structure: relaxed

```
ReIrRu2
1.0
-3.398 -8.005 2.444
-0.881 -8.816 1.764
-1.373 -7.843 4.268
Ir Re Ru
1 1 2
Direct
0.250 0.250 0.250
0.750 0.750 0.750
0.000 0.000 0.000
0.500 0.500 0.500
```

Properties
* symmetry: R-3m, No. 166
* energy relative to the elements: 0.033 eV per atom
* volume: 14.4 Å³/atom


Entry 7:
Compound: ReIr2Ru
Source: Alexandria via LeMat-Bulk
Functional: GGA-PBE
Structure: relaxed

```
ReIr2Ru
1.0
9.035 -0.013 -0.008
8.622 2.700 -0.008
8.622 1.312 2.360
Ir Re Ru
2 1 1
Direct
0.001 0.001 0.001
0.249 0.249 0.249
0.500 0.500 0.500
0.750 0.750 0.750
```

Properties
* symmetry: R3m, No. 160
* energy relative to the elements: 0.003 eV per atom
* volume: 14.5 Å³/atom


Entry 8:
Compound: ReIr2Ru
Source: Alexandria via LeMat-Bulk
Functional: GGA-PBE
Structure: relaxed

```
ReIr2Ru
1.0
-0.792 2.607 -1.869
-3.206 -0.597 0.526
0.127 3.200 4.409
Ir Re Ru
2 1 1
Direct
0.000 0.000 0.000
0.500 0.500 0.248
0.000 0.000 0.501
0.500 0.500 0.751
```

Properties
* symmetry: P4mm, No. 99
* energy relative to the elements: 0.343 eV per atom
* volume: 14.9 Å³/atom


no.,mass density (g/cm3)
1,13.837
2,18.254
3,16.836
4,16.874
5,14.641
6,16.788
7,19.227
8,18.755